Model w:
Computed, not measured: a relaxed ZnGaIrPt2 crystal at the GGA-PBE level of DFT.

a b c (Å): 4.555 4.555 4.438
angles (deg): 90.00 90.00 90.00
Space group P4/mmm (No. 123)
Asymmetric unit:
Zn 0.000 0.000 0.000 x1
Ga 0.000 0.000 0.500 x1
Ir 0.500 0.500 0.000 x1
Pt 0.000 0.500 0.500 x2

Calculated values
The magnetization is 0.00 μB per cell. The crystal system is tetragonal.


Model x:
Computed, not measured: a relaxed ZnGaIrPt2 crystal at the GGA-PBE level of DFT.

a b c (Å): 4.560 4.560 4.389
angles (deg): 90.00 90.00 90.00
Space group P4/mmm (No. 123)
Asymmetric unit:
Zn 0.000 0.000 0.000 x1
Ga 0.000 0.000 0.500 x1
Ir 0.500 0.500 0.500 x1
Pt 0.000 0.500 0.000 x2

Calculated values
The magnetization is 0.00 μB per cell. The crystal system is tetragonal.


Relative to the most stable one, in kJ/mol of atoms, the structures come out at model w 0.0; model x 5.7.


Model w:
Computed, not measured: a relaxed PuGa3Ir crystal at the GGA-PBE level of DFT.

a b c (Å): 4.203 4.203 10.863
angles (deg): 90.00 90.00 90.00
Space group I4mm (No. 107)
Asymmetric unit:
Pu 0.000 0.000 0.000 x2
Ga 0.000 0.000 0.594 x2
Ga 0.000 0.500 0.243 x4
Ir 0.000 0.000 0.370 x2

Calculated values
The magnetization is 10.75 μB per cell. The crystal system is tetragonal.


Model x:
Computed, not measured: a relaxed PuGa3Ir crystal at the GGA-PBE level of DFT.

a b c (Å): 6.381 4.567 6.408
angles (deg): 90.00 90.06 90.00
Space group P2_1/m (No. 11)
Asymmetric unit:
Pu 0.250 0.250 0.250 x2
Ga 0.047 0.250 0.804 x2
Ga 0.250 0.750 0.538 x2
Ga 0.452 0.250 0.804 x2
Ir 0.250 0.750 0.919 x2

Calculated values
The magnetization is 10.47 μB per cell. The crystal system is monoclinic.


Relative to the most stable one, in kJ/mol of atoms, the structures come out at model w 0.0; model x 6.9.


Model w:
Computed, not measured: a relaxed PuZnGaIr crystal at the GGA-PBE level of DFT.

a b c (Å): 6.617 6.617 6.617
angles (deg): 90.00 90.00 90.00
Space group F-43m (No. 216)
Asymmetric unit:
Pu 0.000 0.000 0.000 x4
Zn 0.250 0.250 0.250 x4
Ga 0.000 0.000 0.500 x4
Ir 0.250 0.250 0.750 x4

Calculated values
The magnetization is 19.64 μB per cell. The crystal system is cubic.


Model x:
Computed, not measured: a relaxed PuZnGaIr crystal at the GGA-PBE level of DFT.

a b c (Å): 4.3959 4.3959 14.1335
angles (deg): 90.00 90.00 120.00
Space group R3m (No. 160, hexagonal axes)
Asymmetric unit:
Pu 0.0000 0.0000 0.0000 x3
Zn 0.0000 0.0000 0.7899 x3
Ga 0.0000 0.0000 0.5383 x3
Ir 0.0000 0.0000 0.2008 x3

Calculated values
The magnetization is 15.93 μB per cell. The crystal system is trigonal.


Relative to the most stable one, in kJ/mol of atoms, the structures come out at model w 11.2; model x 0.0.


Model w:
Computed, not measured: a relaxed RbGa3Ir crystal at the GGA-PBE level of DFT.

a b c (Å): 4.924 4.924 4.924
angles (deg): 90.00 90.00 90.00
Space group Pm-3m (No. 221)
Asymmetric unit:
Rb 0.000 0.000 0.000 x1
Ga 0.000 0.500 0.500 x3
Ir 0.500 0.500 0.500 x1

Calculated values
The magnetization is 0.00 μB per cell. The crystal system is cubic.


Model x:
Computed, not measured: a relaxed RbGa3Ir crystal at the GGA-PBE level of DFT.

a b c (Å): 5.508 5.508 5.508
angles (deg): 90.00 90.00 90.00
Space group Pm-3m (No. 221)
Asymmetric unit:
Rb 0.000 0.000 0.000 x1
Ga 0.000 0.000 0.500 x3
Ir 0.500 0.500 0.500 x1

Calculated values
The magnetization is 0.00 μB per cell. The crystal system is cubic.


Relative to the most stable one, in kJ/mol of atoms, the structures come out at model w 0.0; model x 221.3.